A plane-wave DFT calculation with GGA-PBE was carried out for a relaxed K2ScCl5 crystal.

VASP energy in eV per atom: -4.253
Symmetry: Cmcm, No. 63
ΔE to the lowest computed polymorph in meV/atom: 29
ΔE_f (raw) in eV per atom: -2.03

abc: 8.3368 8.3368 14.0470
angles: 90.00 90.00 143.89
Closest atoms and distances in Å follow each position.
Fractional coordinates of all 16 atoms:
K1 0.1428 0.8572 0.5647  5 Cl 3.07-3.26
K2 0.1428 0.8572 0.9353  5 Cl 3.07-3.26
K3 0.8572 0.1428 0.0647  5 Cl 3.07-3.26
K4 0.8572 0.1428 0.4353  5 Cl 3.07-3.26
Sc1 0.1531 0.8469 0.2500  6 Cl 2.44-2.59
Sc2 0.8469 0.1531 0.7500  6 Cl 2.44-2.59
Cl1 0.0449 0.9551 0.1265  1 Sc 2.44
Cl2 0.0449 0.9551 0.3735  1 Sc 2.44
Cl3 0.2657 0.7343 0.1214  1 Sc 2.54
Cl4 0.2657 0.7343 0.3786  1 Sc 2.54
Cl5 0.3340 0.6660 0.7500  2 Sc 2.59
Cl6 0.6660 0.3340 0.2500  2 Sc 2.59
Cl7 0.7343 0.2657 0.6214  1 Sc 2.54
Cl8 0.7343 0.2657 0.8786  1 Sc 2.54
Cl9 0.9551 0.0449 0.6265  1 Sc 2.44
Cl10 0.9551 0.0449 0.8735  1 Sc 2.44


A plane-wave DFT calculation with GGA-PBE was carried out for a relaxed Pr2NdSm crystal.

VASP energy in eV per atom: -4.712
Symmetry: Amm2, No. 38
Calculated formation energy in meV per atom: 49
ΔE to the lowest computed polymorph in meV/atom: 38

abc: 5.7483 7.0619 7.0619
angles: 29.57 90.00 90.00
Closest atoms and distances in Å follow each position.
Fractional coordinates of all 4 atoms:
Pr1 0.0000 0.0000 0.0000  4 Pr 3.35-3.60, 1 Nd 3.48, 4 Sm 3.75
Pr2 0.5000 0.1259 0.1259  4 Pr 3.35-3.60, 1 Sm 3.51
Nd1 0.0000 0.7449 0.7449  7 Pr 3.48-3.80, 2 Nd 3.60, 4 Sm 3.88
Sm1 0.5000 0.3832 0.3832  7 Pr 3.51-3.77, 2 Sm 3.60, 4 Nd 3.88


A plane-wave DFT calculation with GGA-PBE was carried out for a relaxed LaPr3Pt2 crystal.

VASP energy in eV per atom: -6.020
Symmetry: Pmc2_1, No. 26
Calculated formation energy in meV per atom: -795
ΔE to the lowest computed polymorph in meV/atom: 0

abc: 5.0090 9.1994 7.4438
angles: 90.00 90.00 90.00
Closest atoms and distances in Å follow each position.
Fractional coordinates of all 12 atoms:
La1 0.0000 0.0848 0.0000  3 Pt 2.90-3.19
La2 0.0000 0.9152 0.5000  3 Pt 2.90-3.19
Pr1 0.0000 0.3409 0.6400  4 Pt 3.00-3.10
Pr2 0.0000 0.6591 0.1400  4 Pt 3.00-3.10
Pr3 0.5000 0.1622 0.3530  4 Pt 2.98-3.10
Pr4 0.5000 0.4174 0.9915  3 Pt 2.92-3.19
Pr5 0.5000 0.5826 0.4915  3 Pt 2.92-3.19
Pr6 0.5000 0.8378 0.8530  4 Pt 2.98-3.10
Pt1 0.0000 0.3346 0.2368  1 La 2.90, 6 Pr 3.00-3.19
Pt2 0.0000 0.6654 0.7368  1 La 2.90, 6 Pr 3.00-3.19
Pt3 0.5000 0.1651 0.7530  5 Pr 2.92-3.10, 2 La 3.19
Pt4 0.5000 0.8349 0.2530  5 Pr 2.92-3.10, 2 La 3.19


A plane-wave DFT calculation with GGA-PBE was carried out for a relaxed RbLaAgI5 crystal.

VASP energy in eV per atom: -3.247
Symmetry: C2/c, No. 15
ΔE_f (raw) in eV per atom: -1.18

abc: 8.6784 8.6784 11.8298
angles: 103.03 103.03 107.19
Closest atoms and distances in Å follow each position.
Fractional coordinates of all 16 atoms:
Rb1 0.1404 0.8596 0.7500  5 I 3.71-3.80
Rb2 0.8596 0.1404 0.2500  5 I 3.71-3.80
La1 0.5000 0.5000 0.0000  6 I 3.17-3.20
La2 0.5000 0.5000 0.5000  6 I 3.17-3.20
Ag1 0.1879 0.8121 0.2500  4 I 2.85-2.89
Ag2 0.8121 0.1879 0.7500  4 I 2.85-2.89
I1 0.1191 0.2548 0.9420  1 Ag 2.89, 1 La 3.18
I2 0.1759 0.5811 0.3879  1 Ag 2.85, 1 La 3.17
I3 0.2548 0.1191 0.4420  1 Ag 2.89, 1 La 3.18
I4 0.4122 0.5878 0.7500  2 La 3.20
I5 0.4189 0.8241 0.1121  1 Ag 2.85, 1 La 3.17
I6 0.5811 0.1759 0.8879  1 Ag 2.85, 1 La 3.17
I7 0.5878 0.4122 0.2500  2 La 3.20
I8 0.7452 0.8809 0.5580  1 Ag 2.89, 1 La 3.18
I9 0.8241 0.4189 0.6121  1 Ag 2.85, 1 La 3.17
I10 0.8809 0.7452 0.0580  1 Ag 2.89, 1 La 3.18


Number 1: Fermi-level density of states 0.0000 states/eV/atom. Number 2: Fermi-level density of states 1.3699 states/eV/atom. Number 3: Fermi-level density of states 1.1716 states/eV/atom. Number 4: Fermi-level density of states 0.0000 states/eV/atom.